DFT (PBE) results for an optimized crystal structure of Li2ReWN4.

Structure (POSCAR):
```
Li2ReWN4
1.0
-2.7297 -0.8288 -0.6876
1.5240 -1.0950 -4.7302
0.6071 -4.5389 3.0611
N Re W Li
4 1 1 2
direct
0.0000 0.7430 0.2314
0.5000 0.7536 0.7667
0.5000 0.2464 0.2333
0.0000 0.2570 0.7686
0.0000 0.0000 0.0000
0.5000 0.5000 0.0000
0.5000 0.0000 0.5000
0.0000 0.5000 0.5000
```

crystal system	monoclinic

***

DFT (PBE) results for an optimized crystal structure of LiReWN2.

Structure (POSCAR):
```
LiReWN2
1.0
3.7340 0.0000 0.0000
0.0000 4.0030 0.0000
0.0000 0.0000 3.7340
Li W N Re
1 1 2 1
direct
0.0000 0.0000 0.0000
0.0000 0.5000 0.0000
0.5000 0.0000 0.0000
0.0000 0.0000 0.5000
0.5000 0.5000 0.5000
```

crystal system	tetragonal

***

DFT (PBE) results for an optimized crystal structure of LiZrRe2N6.

Structure (POSCAR):
```
LiZrRe2N6
1.0
5.9816 0.1117 0.1159
2.0488 6.9450 0.3868
2.0488 0.1292 6.9546
N Zr Re Li
12 2 4 2
direct
0.3439 0.2009 0.0243
0.7879 0.3793 0.8830
0.6297 0.6900 0.6014
0.8439 0.0243 0.2009
0.7121 0.1170 0.6207
0.6561 0.7991 0.9757
0.1561 0.9757 0.7991
0.8703 0.3986 0.3100
0.2121 0.6207 0.1170
0.3703 0.3100 0.3986
0.1297 0.6014 0.6900
0.2879 0.8830 0.3793
0.7500 0.0907 0.9093
0.2500 0.9093 0.0907
0.8004 0.6176 0.7910
0.3004 0.7910 0.6176
0.6996 0.2090 0.3824
0.1996 0.3824 0.2090
0.7500 0.7340 0.2660
0.2500 0.2660 0.7340
```

crystal system	monoclinic

***

DFT (PBE) results for an optimized crystal structure of Li2ZrReN4.

Structure (POSCAR):
```
Li2ZrReN4
1.0
6.2245 -0.0182 -0.1710
-0.0226 6.2245 -0.1710
-3.2032 -3.2055 4.5592
N Li Zr Re
8 4 2 2
direct
0.2664 0.7260 0.4962
0.7524 0.7475 0.9741
0.7336 0.2740 0.5038
0.7525 0.7476 0.5259
0.7740 0.2336 0.0038
0.2260 0.7664 0.9962
0.2476 0.2525 0.0259
0.2475 0.2524 0.4741
0.5000 0.0000 0.0000
0.5000 0.0000 0.5000
0.0000 0.0000 0.5000
0.5000 0.5000 0.0000
0.0000 0.5000 0.5000
0.0000 0.5000 0.0000
0.0000 0.0000 0.0000
0.5000 0.5000 0.5000
```

crystal system	orthorhombic

***

DFT (PBE) results for an optimized crystal structure of Li2Rh4N.

Structure (POSCAR):
```
Li2Rh4N
1.0
3.9425 0.0000 0.0000
0.0000 3.9425 0.0000
1.9712 1.9712 6.3541
Li Rh N
2 4 1
direct
0.6423 0.6423 0.7155
0.3577 0.3577 0.2845
0.1630 0.1630 0.6740
0.0000 0.5000 0.0000
0.8370 0.8370 0.3260
0.5000 0.0000 0.0000
0.0000 0.0000 0.0000
```

crystal system	tetragonal

***

DFT (PBE) results for an optimized crystal structure of LiRh2N.

Structure (POSCAR):
```
LiRh2N
1.0
-4.7697 2.8407 3.8980
3.1549 -2.3091 5.5433
0.4434 2.2236 4.8243
Rh Li N
4 2 2
direct
0.3750 0.2358 0.7500
0.9858 0.6250 0.2500
0.7642 0.1250 0.2500
0.8750 0.0142 0.7500
0.2500 0.7500 0.5000
0.5000 0.5000 0.0000
0.7500 0.2500 0.5000
0.0000 0.0000 0.0000
```

crystal system	tetragonal

***

DFT (PBE) results for an optimized crystal structure of LiRhN3.

Structure (POSCAR):
```
LiRhN3
1.0
-1.4810 3.1506 1.6828
-2.6319 -2.1942 1.7918
2.4148 -0.4592 2.9849
N Rh Li
3 1 1
direct
0.0000 0.5000 0.0000
0.5000 0.0000 0.0000
0.0000 0.0000 0.5000
0.0000 0.0000 0.0000
0.5000 0.5000 0.5000
```

crystal system	cubic

***

DFT (PBE) results for an optimized crystal structure of LiRhN.

Structure (POSCAR):
```
LiRhN
1.0
4.4675 0.0000 0.0000
0.0000 3.1209 0.0000
0.0000 -1.5605 2.7028
Rh N Li
1 1 1
direct
0.1233 0.0000 0.0000
0.2941 0.6667 0.3333
0.5826 0.3333 0.6667
```

crystal system	trigonal

***

DFT (PBE) results for an optimized crystal structure of LiRhN.

Structure (POSCAR):
```
LiRhN
1.0
-2.3735 -1.0505 -1.6451
2.1938 0.2326 -2.1392
1.1626 -3.8403 0.7748
N Li Rh
1 1 1
direct
0.3665 0.6335 0.0000
0.4078 0.5922 0.5000
0.9500 0.0500 0.0000
```

crystal system	orthorhombic

***

DFT (PBE) results for an optimized crystal structure of LiRhN2.

Structure (POSCAR):
```
LiRhN2
1.0
-1.4609 -3.1027 -1.1590
-3.5627 -0.2076 -0.6064
-1.2472 -0.2587 -3.3884
N Rh Li
2 1 1
direct
0.2500 0.2500 0.2500
0.7500 0.7500 0.7500
0.5000 0.5000 0.5000
0.0000 0.0000 0.0000
```

crystal system	cubic

***

DFT (PBE) results for an optimized crystal structure of LiRhN2.

Structure (POSCAR):
```
LiRhN2
1.0
-0.7082 5.8229 1.2767
2.2749 5.5409 0.4013
0.0274 5.7406 -1.7559
N Li Rh
2 1 1
direct
0.1088 0.1088 0.1088
0.8912 0.8912 0.8912
0.0000 0.0000 0.0000
0.5000 0.5000 0.5000
```

crystal system	trigonal

***

DFT (PBE) results for an optimized crystal structure of LiRhN2.

Structure (POSCAR):
```
LiRhN2
1.0
0.5898 2.4343 5.1287
2.6480 3.9315 3.1793
-0.4557 4.7343 3.1552
Rh N Li
1 2 1
direct
0.0000 0.0000 0.0000
0.8906 0.8906 0.8906
0.1094 0.1094 0.1094
0.5000 0.5000 0.5000
```

crystal system	trigonal

***

DFT (PBE) results for an optimized crystal structure of LiRhN3.

Structure (POSCAR):
```
LiRhN3
1.0
3.5179 0.0000 0.0000
0.0000 3.5179 0.0000
0.0000 0.0000 3.5179
N Li Rh
3 1 1
direct
0.5000 0.0000 0.0000
0.0000 0.5000 0.0000
0.0000 0.0000 0.5000
0.0000 0.0000 0.0000
0.5000 0.5000 0.5000
```

crystal system	cubic

***

DFT (PBE) results for an optimized crystal structure of Li15RhN6.

Structure (POSCAR):
```
Li15RhN6
1.0
6.6938 0.0000 -2.3665
-3.3470 5.7969 -2.3667
0.0001 0.0000 7.0998
N Li Rh
6 15 1
direct
0.2728 0.0000 0.2728
0.0000 0.2728 0.2728
0.0000 0.7272 0.7272
0.2728 0.2728 0.0000
0.7272 0.0000 0.7272
0.7272 0.7272 0.0000
0.5382 0.7691 0.7691
0.7691 0.0000 0.2309
0.0000 0.2309 0.7691
0.2309 0.4618 0.2309
0.7691 0.5382 0.7691
0.0000 0.5000 0.5000
0.7691 0.2309 0.0000
0.5000 0.0000 0.5000
0.2309 0.0000 0.7691
0.2309 0.7691 0.0000
0.5000 0.5000 0.0000
0.2309 0.2309 0.4618
0.7691 0.7691 0.5382
0.0000 0.7691 0.2309
0.4618 0.2309 0.2309
0.0000 0.0000 0.0000
```

crystal system	cubic

***

DFT (PBE) results for an optimized crystal structure of LiRhN2.

Structure (POSCAR):
```
LiRhN2
1.0
4.6086 0.0000 0.0000
0.0000 4.6086 0.0000
2.3043 2.3043 4.5837
Rh N Li
2 4 2
direct
0.0000 0.0000 0.0000
0.7500 0.2500 0.5000
0.6599 0.1250 0.2500
0.8750 0.9099 0.7500
0.3750 0.3401 0.7500
0.0901 0.6250 0.2500
0.2500 0.7500 0.5000
0.5000 0.5000 0.0000
```

crystal system	tetragonal

***

DFT (PBE) results for an optimized crystal structure of Li4RhN2.

Structure (POSCAR):
```
Li4RhN2
1.0
3.4807 0.0000 0.7754
1.6540 3.0626 0.7754
0.2806 0.1674 6.9406
Li N Rh
4 2 1
direct
0.1999 0.1999 0.4002
0.5917 0.5917 0.2249
0.4083 0.4083 0.7751
0.8001 0.8001 0.5998
0.9033 0.9033 0.2902
0.0967 0.0967 0.7098
0.0000 0.0000 0.0000
```

crystal system	trigonal

***

DFT (PBE) results for an optimized crystal structure of LiRhN.

Structure (POSCAR):
```
LiRhN
1.0
2.7479 0.0000 0.0000
0.0000 2.7479 0.0000
-1.3740 -1.3740 4.5790
N Rh Li
1 1 1
direct
0.5858 0.5858 0.1716
0.9970 0.9970 0.9941
0.2671 0.2671 0.5343
```

crystal system	tetragonal

***

DFT (PBE) results for an optimized crystal structure of Li2SbRhN.

Structure (POSCAR):
```
Li2SbRhN
1.0
-0.6000 -3.9285 1.4465
3.5755 -1.2410 -1.8873
2.0055 0.8797 3.2209
Sb Li Rh N
1 2 1 1
direct
0.5000 0.5000 0.5000
0.5000 0.0000 0.0000
0.0000 0.5000 0.0000
0.0000 0.0000 0.5000
0.0000 0.0000 0.0000
```

crystal system	tetragonal

***

DFT (PBE) results for an optimized crystal structure of LiRhSe2N.

Structure (POSCAR):
```
LiRhSe2N
1.0
4.6680 0.0000 0.0000
0.0000 4.6680 0.0000
0.0000 0.0000 3.3775
Se Rh N Li
2 1 1 1
direct
0.0000 0.5000 0.0000
0.5000 0.0000 0.0000
0.5000 0.5000 0.5000
0.0000 0.0000 0.5000
0.0000 0.0000 0.0000
```

crystal system	tetragonal

***

DFT (PBE) results for an optimized crystal structure of LiRhSeN2.

Structure (POSCAR):
```
LiRhSeN2
1.0
3.6776 0.0000 0.0000
0.0000 3.6776 0.0000
0.0000 0.0000 4.5071
Li N Rh Se
1 2 1 1
direct
0.0000 0.0000 0.0000
0.5000 0.0000 0.0000
0.0000 0.5000 0.0000
0.5000 0.5000 0.5000
0.0000 0.0000 0.5000
```

crystal system	tetragonal

***

DFT (PBE) results for an optimized crystal structure of LiRhSe2N.

Structure (POSCAR):
```
LiRhSe2N
1.0
-4.9227 0.6423 1.6276
-1.4876 -4.0948 -2.8833
0.6372 -2.2000 2.7956
Se N Rh Li
2 1 1 1
direct
0.5000 0.0000 0.0000
0.0000 0.5000 0.0000
0.0000 0.0000 0.5000
0.0000 0.0000 0.0000
0.5000 0.5000 0.5000
```

crystal system	tetragonal

***

DFT (PBE) results for an optimized crystal structure of LiRhSeN2.

Structure (POSCAR):
```
LiRhSeN2
1.0
-3.0262 1.6077 1.6043
-1.6252 0.3343 -3.4005
-2.3089 -4.9606 0.6159
Li N Se Rh
1 2 1 1
direct
0.5000 0.5000 0.5000
0.0000 0.5000 0.0000
0.5000 0.0000 0.0000
0.0000 0.0000 0.5000
0.0000 0.0000 0.0000
```

crystal system	tetragonal

***

DFT (PBE) results for an optimized crystal structure of LiSnRh2N.

Structure (POSCAR):
```
LiSnRh2N
1.0
4.1423 0.0000 0.0000
0.0000 4.1423 0.0000
0.0000 0.0000 3.9775
Rh Li N Sn
2 1 1 1
direct
0.5000 0.0000 0.0000
0.0000 0.5000 0.0000
0.0000 0.0000 0.5000
0.0000 0.0000 0.0000
0.5000 0.5000 0.5000
```

crystal system	tetragonal

***

DFT (PBE) results for an optimized crystal structure of Li2SnRhN.

Structure (POSCAR):
```
Li2SnRhN
1.0
4.2580 0.0000 0.0000
0.0000 4.2580 0.0000
0.0000 0.0000 3.8547
Li Sn N Rh
2 1 1 1
direct
0.0000 0.5000 0.0000
0.5000 0.0000 0.0000
0.5000 0.5000 0.5000
0.0000 0.0000 0.0000
0.0000 0.0000 0.5000
```

crystal system	tetragonal

***

DFT (PBE) results for an optimized crystal structure of Sr2LiRhN2.

Structure (POSCAR):
```
Sr2LiRhN2
1.0
4.1558 0.0000 0.0000
0.0000 6.3541 0.0000
0.0000 0.0000 8.5199
Sr N Li Rh
4 4 2 2
direct
0.5000 0.8699 0.7493
0.0000 0.3699 0.7507
0.5000 0.1301 0.2507
0.0000 0.6301 0.2493
0.0000 0.2828 0.0913
0.5000 0.2172 0.5913
0.0000 0.7172 0.9087
0.5000 0.7828 0.4087
0.5000 0.5000 0.0000
0.0000 0.0000 0.5000
0.5000 0.5000 0.5000
0.0000 0.0000 0.0000
```

crystal system	orthorhombic

***

DFT (PBE) results for an optimized crystal structure of SrLiRhN.

Structure (POSCAR):
```
SrLiRhN
1.0
-2.1206 -1.4139 -2.2349
2.8580 -2.8072 -0.9359
-2.1793 -0.9515 5.2406
N Rh Li Sr
1 1 1 1
direct
0.2554 0.7554 0.5109
0.6574 0.6574 0.3148
0.2462 0.2462 0.4923
0.9564 0.9564 0.9127
```

crystal system	orthorhombic

***

Number 1: uncorrected formation energy -0.3664 eV per atom. Number 2: uncorrected formation energy 2.2470 eV per atom. Number 3: uncorrected formation energy -0.3601 eV per atom. Number 4: uncorrected formation energy -0.6238 eV per atom. Number 5: uncorrected formation energy 0.2375 eV per atom. Number 6: uncorrected formation energy -0.0266 eV per atom. Number 7: uncorrected formation energy 1.3650 eV per atom. Number 8: uncorrected formation energy -0.0860 eV per atom. Number 9: uncorrected formation energy 0.0552 eV per atom. Number 10: uncorrected formation energy 0.5341 eV per atom. Number 11: uncorrected formation energy 0.5296 eV per atom. Number 12: uncorrected formation energy 0.9086 eV per atom. Number 13: uncorrected formation energy 2.1177 eV per atom. Number 14: uncorrected formation energy -0.2278 eV per atom. Number 15: uncorrected formation energy 0.2658 eV per atom. Number 16: uncorrected formation energy -0.2182 eV per atom. Number 17: uncorrected formation energy 0.1573 eV per atom. Number 18: uncorrected formation energy -0.2852 eV per atom. Number 19: uncorrected formation energy 0.9564 eV per atom. Number 20: uncorrected formation energy 1.6610 eV per atom. Number 21: uncorrected formation energy 0.1326 eV per atom. Number 22: uncorrected formation energy 0.6376 eV per atom. Number 23: uncorrected formation energy -0.1569 eV per atom. Number 24: uncorrected formation energy -0.2992 eV per atom. Number 25: uncorrected formation energy -0.2375 eV per atom. Number 26: uncorrected formation energy -0.2952 eV per atom.